Here is a geometry-optimized Nd2H5 structure from the Open Quantum Materials Database. Energies are from PBE.

```
data_Nd2H5
_chemical_formula_sum 'Nd4 H10'
_symmetry_space_group_name_H-M 'P 1'
_symmetry_Int_Tables_number 1
_symmetry_space_group_name_Hall 'P 1'
_cell_length_a 6.652
_cell_length_b 6.652
_cell_length_c 6.652
_cell_angle_alpha 132.27
_cell_angle_beta 132.27
_cell_angle_gamma 69.80
loop_
_atom_site_label
_atom_site_type_symbol
_atom_site_fract_x
_atom_site_fract_y
_atom_site_fract_z
Nd1 Nd 0.000 0.000 0.000
Nd2 Nd 0.243 0.743 0.500
Nd3 Nd 0.493 0.493 0.000
Nd4 Nd 0.750 0.250 0.500
H1 H 0.122 0.103 0.481
H2 H 0.122 0.641 0.019
H3 H 0.246 0.246 0.000
H4 H 0.391 0.372 0.519
H5 H 0.391 0.872 0.019
H6 H 0.622 0.103 0.981
H7 H 0.622 0.641 0.519
H8 H 0.853 0.372 0.981
H9 H 0.853 0.872 0.481
H10 H 0.996 0.496 0.500
```

Results
- calculated total energy (hartree per atom) = -0.160